YCdOs2 after structural relaxation. Source: Alexandria via LeMat-Bulk, functional GGA-PBEsol.

Geometry as CIF:
```
data_YCdOs2
_space_group_name_H-M_alt 'P 1'
_space_group_IT_number 1
_cell_length_a 3.137
_cell_length_b 4.826
_cell_length_c 5.452
_cell_angle_alpha 116.27
_cell_angle_beta 106.72
_cell_angle_gamma 90.00
loop_
_space_group_symop_operation_xyz
'x,y,z'
loop_
_atom_site_label
_atom_site_type_symbol
_atom_site_fract_x
_atom_site_fract_y
_atom_site_fract_z
Cd1 Cd 0.000 0.500 0.000
Os1 Os 0.750 0.750 0.499
Os2 Os 0.250 0.250 0.501
Y1 Y 0.500 0.000 0.000
```

formation energy: 206.7 kJ/mol of formula units
calculated density: 13783 kg/m3
final energy: -7.5771 eV/atom
DOS at the Fermi energy: 1.1245 states/eV/atom